[1]
AlTl3Sn, optimized geometry, DFT GGA-PBE; energy above the most stable polymorph in this dataset = 0.000 eV/atom; E = -13.053 eV per cell; SG = Pm-3m, No. 221; formation energy from the elements = 0.358 eV per atom; calculated volume = 159.0 Å³/cell
1.0
5.417 0.000 0.000
0.000 5.417 0.000
0.000 0.000 5.417
Al Tl Sn
1 3 1
Direct
0.000 0.000 0.000
0.000 0.000 0.500
0.000 0.500 0.000
0.500 0.000 0.000
0.500 0.500 0.500

[2]
Al4TlSn, optimized geometry, DFT GGA-PBE; E = -20.256 eV per cell; SG = F-43m, No. 216; formation energy from the elements = 0.181 eV per atom; calculated volume = 128.1 Å³/cell
1.0
0.000 4.001 4.001
4.001 0.000 4.001
4.001 4.001 0.000
Al Tl Sn
4 1 1
Direct
0.125 0.125 0.125
0.125 0.125 0.625
0.125 0.625 0.125
0.625 0.125 0.125
0.750 0.750 0.750
0.500 0.500 0.500

[3]
AlTl2SnW, optimized geometry, DFT GGA-PBE; E = -21.370 eV per cell; SG = P4/mmm, No. 123; formation energy from the elements = 0.812 eV per atom; calculated volume = 154.4 Å³/cell
1.0
5.413 0.000 0.000
0.000 5.413 0.000
0.000 0.000 5.269
Al Tl Sn W
1 2 1 1
Direct
0.000 0.000 0.000
0.000 0.500 0.500
0.500 0.000 0.500
0.500 0.500 0.000
0.500 0.500 0.500

[4]
Tm2AlSn2, optimized geometry, DFT GGA-PBE; E = -45.199 eV per cell; SG = P2_1/m, No. 11; formation energy from the elements = -0.382 eV per atom; calculated volume = 270.9 Å³/cell
1.0
6.230 0.000 0.000
0.000 4.611 0.000
-2.278 0.000 9.432
Tm Al Sn
4 2 4
Direct
0.047 0.250 0.184
0.328 0.250 0.599
0.672 0.750 0.401
0.953 0.750 0.816
0.305 0.750 0.095
0.695 0.250 0.905
0.167 0.750 0.390
0.445 0.750 0.824
0.555 0.250 0.176
0.833 0.250 0.610

Copy entry 3 word for word.
AlTl2SnW, optimized geometry, DFT GGA-PBE; E = -21.370 eV per cell; SG = P4/mmm, No. 123; formation energy from the elements = 0.812 eV per atom; calculated volume = 154.4 Å³/cell
1.0
5.413 0.000 0.000
0.000 5.413 0.000
0.000 0.000 5.269
Al Tl Sn W
1 2 1 1
Direct
0.000 0.000 0.000
0.000 0.500 0.500
0.500 0.000 0.500
0.500 0.500 0.000
0.500 0.500 0.500

- calculated volume of number 1 (AlTl3Sn)?
  159.0 Å³/cell